No. 1
# GGA-PBE CaCr2B, relaxed
# Calculated total energy (eV per atom): -5.9590
# E_form (eV/atom): 1.022
# SG: No. 141
data_CaCr2B
_cell_length_a 6.0271
_cell_length_b 6.0271
_cell_length_c 6.0172
_cell_angle_alpha 59.95
_cell_angle_beta 59.95
_cell_angle_gamma 90.00
_symmetry_space_group_name_H-M 'P 1'
_symmetry_Int_Tables_number 1
_symmetry_space_group_name_Hall 'P 1'
loop_
_atom_site_label
_atom_site_type_symbol
_atom_site_fract_x
_atom_site_fract_y
_atom_site_fract_z
B1 B 0.5000 0.5000 0.0000
B2 B 0.2500 0.7500 0.5000
Cr1 Cr 0.3751 0.6250 0.2500
Cr2 Cr 0.3749 0.1250 0.2500
Cr3 Cr 0.3750 0.6251 0.7500
Cr4 Cr 0.8750 0.6249 0.7500
Ca1 Ca 0.0000 0.0000 0.0000
Ca2 Ca 0.7500 0.2500 0.5000

***

No. 2
# GGA-PBE CaCrB2, relaxed
# Calculated total energy (eV per atom): -5.2228
# E_form (eV/atom): 1.022
# ΔE to the lowest computed polymorph (eV per atom): 0.507
# SG: No. 225
data_CaCrB2
_cell_length_a 4.0798
_cell_length_b 4.0798
_cell_length_c 4.0798
_cell_angle_alpha 60.00
_cell_angle_beta 60.00
_cell_angle_gamma 60.00
_symmetry_space_group_name_H-M 'P 1'
_symmetry_Int_Tables_number 1
_symmetry_space_group_name_Hall 'P 1'
loop_
_atom_site_label
_atom_site_type_symbol
_atom_site_fract_x
_atom_site_fract_y
_atom_site_fract_z
B1 B 0.2500 0.2500 0.2500
B2 B 0.7500 0.7500 0.7500
Ca1 Ca 0.0000 0.0000 0.0000
Cr1 Cr 0.5000 0.5000 0.5000